Record 1
# MgInPd2, relaxed, DFT GGA-PBE
data_MgInPd2
_symmetry_space_group_name_H-M 'P 63/m m c'
_symmetry_Int_Tables_number 194
_symmetry_space_group_name_Hall '-P 6c 2c'
_cell_length_a 4.5705
_cell_length_b 4.5705
_cell_length_c 8.1992
_cell_angle_alpha 90.00
_cell_angle_beta 90.00
_cell_angle_gamma 120.00
loop_
_atom_site_label
_atom_site_type_symbol
_atom_site_fract_x
_atom_site_fract_y
_atom_site_fract_z
Mg1 Mg 0.3333 0.6667 0.2500
In1 In 0.0000 0.0000 0.0000
Pd1 Pd 0.3333 0.6667 0.5815
# **Crystal system**: hexagonal

=====

Record 2
# MgInPd2, relaxed, DFT GGA-PBE
data_MgInPd2
_symmetry_space_group_name_H-M 'F m -3 m'
_symmetry_Int_Tables_number 225
_symmetry_space_group_name_Hall '-F 4 2 3'
_cell_length_a 6.462
_cell_length_b 6.462
_cell_length_c 6.462
_cell_angle_alpha 90.00
_cell_angle_beta 90.00
_cell_angle_gamma 90.00
loop_
_atom_site_label
_atom_site_type_symbol
_atom_site_fract_x
_atom_site_fract_y
_atom_site_fract_z
Mg1 Mg 0.000 0.000 0.000
In1 In 0.000 0.000 0.500
Pd1 Pd 0.250 0.250 0.250
# **Crystal system**: cubic

=====

Record 3
# MgInPd2, relaxed, DFT GGA-PBE
data_MgInPd2
_symmetry_space_group_name_H-M 'P 63/m m c'
_symmetry_Int_Tables_number 194
_symmetry_space_group_name_Hall '-P 6c 2c'
_cell_length_a 4.4685
_cell_length_b 4.4685
_cell_length_c 8.3380
_cell_angle_alpha 90.00
_cell_angle_beta 90.00
_cell_angle_gamma 120.00
loop_
_atom_site_label
_atom_site_type_symbol
_atom_site_fract_x
_atom_site_fract_y
_atom_site_fract_z
Mg1 Mg 0.0000 0.0000 0.0000
In1 In 0.3333 0.6667 0.2500
Pd1 Pd 0.3333 0.6667 0.5852
# **Crystal system**: hexagonal

=====

Record 4
# MgZr3In2PdPt2, relaxed, DFT GGA-PBE
data_MgZr3In2PdPt2
_symmetry_space_group_name_H-M 'A m m 2'
_symmetry_Int_Tables_number 38
_symmetry_space_group_name_Hall 'A 2 -2'
_cell_length_a 3.561
_cell_length_b 13.228
_cell_length_c 7.475
_cell_angle_alpha 90.00
_cell_angle_beta 90.00
_cell_angle_gamma 90.00
loop_
_atom_site_label
_atom_site_type_symbol
_atom_site_fract_x
_atom_site_fract_y
_atom_site_fract_z
Mg1 Mg 0.000 0.000 0.000
Zr1 Zr 0.500 0.000 0.331
Zr2 Zr 0.500 0.199 0.945
In1 In 0.000 0.133 0.607
Pd1 Pd 0.500 0.000 0.745
Pt1 Pt 0.000 0.164 0.231
# **Crystal system**: orthorhombic

=====

Record 5
# MgSc2InPd4, relaxed, DFT GGA-PBE
data_MgSc2InPd4
_symmetry_space_group_name_H-M 'P 4/m m m'
_symmetry_Int_Tables_number 123
_symmetry_space_group_name_Hall '-P 4 2'
_cell_length_a 4.613
_cell_length_b 4.613
_cell_length_c 6.524
_cell_angle_alpha 90.00
_cell_angle_beta 90.00
_cell_angle_gamma 90.00
loop_
_atom_site_label
_atom_site_type_symbol
_atom_site_fract_x
_atom_site_fract_y
_atom_site_fract_z
Mg1 Mg 0.000 0.000 0.000
Sc1 Sc 0.000 0.000 0.500
Sc2 Sc 0.500 0.500 0.000
In1 In 0.500 0.500 0.500
Pd1 Pd 0.000 0.500 0.245
# **Crystal system**: tetragonal

=====

Record 6
# Mg4InSiPd2, relaxed, DFT GGA-PBE
data_Mg4InSiPd2
_symmetry_space_group_name_H-M 'A m m 2'
_symmetry_Int_Tables_number 38
_symmetry_space_group_name_Hall 'A 2 -2'
_cell_length_a 7.477
_cell_length_b 2.924
_cell_length_c 20.502
_cell_angle_alpha 90.00
_cell_angle_beta 90.00
_cell_angle_gamma 90.00
loop_
_atom_site_label
_atom_site_type_symbol
_atom_site_fract_x
_atom_site_fract_y
_atom_site_fract_z
Mg1 Mg 0.184 0.000 0.000
Mg2 Mg 0.209 0.000 0.634
In1 In 0.500 0.000 0.824
Si1 Si 0.500 0.000 0.952
Pd1 Pd 0.500 0.000 0.074
Pd2 Pd 0.500 0.000 0.699
# **Crystal system**: orthorhombic

=====

Record 7
# MgTlInPd, relaxed, DFT GGA-PBE
data_MgTlInPd
_symmetry_space_group_name_H-M 'F -4 3 m'
_symmetry_Int_Tables_number 216
_symmetry_space_group_name_Hall 'F -4 2 3'
_cell_length_a 6.976
_cell_length_b 6.976
_cell_length_c 6.976
_cell_angle_alpha 90.00
_cell_angle_beta 90.00
_cell_angle_gamma 90.00
loop_
_atom_site_label
_atom_site_type_symbol
_atom_site_fract_x
_atom_site_fract_y
_atom_site_fract_z
Mg1 Mg 0.000 0.000 0.000
Tl1 Tl 0.250 0.250 0.250
In1 In 0.000 0.000 0.500
Pd1 Pd 0.250 0.250 0.750
# **Crystal system**: cubic

=====

Record 8
# TmMgIn4Pd2, relaxed, DFT GGA-PBE
data_TmMgIn4Pd2
_symmetry_space_group_name_H-M 'A m m 2'
_symmetry_Int_Tables_number 38
_symmetry_space_group_name_Hall 'A 2 -2'
_cell_length_a 7.809
_cell_length_b 4.347
_cell_length_c 10.210
_cell_angle_alpha 90.00
_cell_angle_beta 90.00
_cell_angle_gamma 90.00
loop_
_atom_site_label
_atom_site_type_symbol
_atom_site_fract_x
_atom_site_fract_y
_atom_site_fract_z
Tm1 Tm 0.000 0.000 0.000
Mg1 Mg 0.500 0.000 0.866
In1 In 0.204 0.000 0.293
In2 In 0.303 0.000 0.571
Pd1 Pd 0.000 0.000 0.712
Pd2 Pd 0.500 0.000 0.145
# **Crystal system**: orthorhombic

=====

no.,raw total energy (eV for the cell shown)
1,-33.80
2,-69.38
3,-33.94
4,-113.08
5,-44.33
6,-47.07
7,-49.55
8,-62.52